## NiBF2 (GGA+U)

Data for crystalline NiBF2 at its relaxed geometry.

Properties
For the energy above the lowest structure with this stoichiometry, the calculation gives 100.9 kJ/mol of atoms. The symmetry is Fm-3m. The calculation puts the energy at -44.7 eV for the cell shown.

a = 5.5013 Å, b = 5.5013 Å, c = 5.5013 Å
α = 90.00°, β = 90.00°, γ = 90.00°
With the nearest neighbours (Å) after each atom.
Atoms (fractional coordinates):
Ni 0.0000 0.0000 0.0000  8 F 2.38
Ni 0.0000 0.5000 0.5000  8 F 2.38
Ni 0.5000 0.0000 0.5000  8 F 2.38
Ni 0.5000 0.5000 0.0000  8 F 2.38
B 0.0000 0.0000 0.5000  8 F 2.38
B 0.0000 0.5000 0.0000  8 F 2.38
B 0.5000 0.0000 0.0000  8 F 2.38
B 0.5000 0.5000 0.5000  8 F 2.38
F 0.2500 0.2500 0.2500  4 Ni 2.38, 4 B 2.38
F 0.2500 0.2500 0.7500  4 Ni 2.38, 4 B 2.38
F 0.2500 0.7500 0.2500  4 Ni 2.38, 4 B 2.38
F 0.2500 0.7500 0.7500  4 Ni 2.38, 4 B 2.38
F 0.7500 0.2500 0.2500  4 Ni 2.38, 4 B 2.38
F 0.7500 0.2500 0.7500  4 Ni 2.38, 4 B 2.38
F 0.7500 0.7500 0.2500  4 Ni 2.38, 4 B 2.38
F 0.7500 0.7500 0.7500  4 Ni 2.38, 4 B 2.38